DFT (PBEsol) results for a relaxed structure of CsNa2InSn.

a b c (Å): 5.976 5.976 5.763
angles (deg): 90.00 90.00 90.00
Space group P4/mmm (No. 123)
Asymmetric unit:
Cs1 0.000 0.000 0.000
Na1 0.000 0.500 0.500
In1 0.500 0.500 0.000
Sn1 0.500 0.500 0.500

Values from the calculation:
Formation energy from the elements in meV per atom: -25.6
Uncorrected energy in eV/atom: -2.222